1.
# CrCo2PRu

Crystalline CrCo2PRu at its relaxed geometry (PBE, the Alexandria database).

Values from the calculation:
* ΔH_f (0 K): 0.68 eV per atom
* E_tot: -35.1 eV per cell
* space group: P4/mmm

Cell lengths 4.0567, 4.0567, 4.3187 Å; angles 90.00, 90.00, 90.00 degrees
Fractional positions:
Cr 0.0000 0.0000 0.0000
Co 0.0000 0.5000 0.5000
Co 0.5000 0.0000 0.5000
P 0.5000 0.5000 0.5000
Ru 0.5000 0.5000 0.0000



2.
# ScCr2CoP

Crystalline ScCr2CoP at its relaxed geometry (PBE, the Alexandria database).

Values from the calculation:
* ΔH_f (0 K): 0.58 eV per atom
* E_tot: -35.2 eV per cell
* space group: P4/mmm

Cell lengths 4.2757, 4.2757, 4.8142 Å; angles 90.00, 90.00, 90.00 degrees
Fractional positions:
Sc 0.0000 0.0000 0.0000
Cr 0.0000 0.5000 0.5000
Cr 0.5000 0.0000 0.5000
Co 0.0000 0.0000 0.5000
P 0.5000 0.5000 0.0000



3.
# CrCoTcP2

Crystalline CrCoTcP2 at its relaxed geometry (PBE, the Alexandria database).

Values from the calculation:
* ΔH_f (0 K): 1.27 eV per atom
* E_tot: -31.6 eV per cell
* space group: P4/mmm

Cell lengths 4.4828, 4.4828, 4.4850 Å; angles 90.00, 90.00, 90.00 degrees
Fractional positions:
Cr 0.0000 0.0000 0.0000
Co 0.5000 0.5000 0.0000
Tc 0.5000 0.5000 0.5000
P 0.0000 0.5000 0.5000
P 0.5000 0.0000 0.5000



4.
# CrCo2PW

Crystalline CrCo2PW at its relaxed geometry (PBE, the Alexandria database).

Values from the calculation:
* ΔH_f (0 K): 0.73 eV per atom
* E_tot: -38.5 eV per cell
* space group: P4/mmm

Cell lengths 4.0047, 4.0047, 4.4840 Å; angles 90.00, 90.00, 90.00 degrees
Fractional positions:
Cr 0.0000 0.0000 0.0000
Co 0.0000 0.5000 0.5000
Co 0.5000 0.0000 0.5000
P 0.5000 0.5000 0.5000
W 0.5000 0.5000 0.0000



5.
# PaCrCo2

Crystalline PaCrCo2 at its relaxed geometry (PBE, the Alexandria database).

Values from the calculation:
* ΔH_f (0 K): -0.08 eV per atom
* E_tot: -33.7 eV per cell
* distance to the lowest polymorph of the same formula: 0 meV per atom
* space group: R-3m

Cell lengths 4.6783, 4.6783, 4.6783 Å; angles 54.37, 54.37, 54.37 degrees
Fractional positions:
Pa 0.0000 0.0000 0.0000
Cr 0.5000 0.5000 0.5000
Co 0.2018 0.2018 0.2018
Co 0.7982 0.7982 0.7982



6.
# Pa2CrCo

Crystalline Pa2CrCo at its relaxed geometry (PBE, the Alexandria database).

Values from the calculation:
* ΔH_f (0 K): 0.19 eV per atom
* E_tot: -35.0 eV per cell
* space group: R-3m

Cell lengths 6.5179, 6.5179, 6.5179 Å; angles 33.49, 33.49, 33.49 degrees
Fractional positions:
Pa 0.2486 0.2486 0.2486
Pa 0.7514 0.7514 0.7514
Cr 0.5000 0.5000 0.5000
Co 0.0000 0.0000 0.0000



7.
# Pa2CrCo9

Crystalline Pa2CrCo9 at its relaxed geometry (PBE, the Alexandria database).

Values from the calculation:
* ΔH_f (0 K): -0.05 eV per atom
* E_tot: -93.2 eV per cell
* space group: R-3m

Cell lengths 8.5514, 8.5514, 8.5514 Å; angles 32.57, 32.57, 32.57 degrees
Fractional positions:
Pa 0.1326 0.1326 0.1326
Pa 0.8674 0.8674 0.8674
Cr 0.0000 0.0000 0.0000
Co 0.0808 0.5813 0.5813
Co 0.3334 0.3334 0.3334
Co 0.4187 0.4187 0.9192
Co 0.4187 0.9192 0.4187
Co 0.5000 0.5000 0.5000
Co 0.5813 0.0808 0.5813
Co 0.5813 0.5813 0.0808
Co 0.6666 0.6666 0.6666
Co 0.9192 0.4187 0.4187



8.
# PaCrCo2

Crystalline PaCrCo2 at its relaxed geometry (PBE, the Alexandria database).

Values from the calculation:
* ΔH_f (0 K): -0.06 eV per atom
* E_tot: -33.6 eV per cell
* distance to the lowest polymorph of the same formula: 21 meV per atom
* space group: P4/mmm

Cell lengths 4.0778, 4.0778, 3.5934 Å; angles 90.00, 90.00, 90.00 degrees
Fractional positions:
Pa 0.0000 0.0000 0.0000
Cr 0.5000 0.5000 0.0000
Co 0.0000 0.5000 0.5000
Co 0.5000 0.0000 0.5000



9.
# PaCrCo

Crystalline PaCrCo at its relaxed geometry (PBE, the Alexandria database).

Values from the calculation:
* ΔH_f (0 K): 0.34 eV per atom
* E_tot: -50.4 eV per cell
* distance to the lowest polymorph of the same formula: 209 meV per atom
* space group: Fmmm

Cell lengths 6.0632, 5.1907, 4.8235 Å; angles 74.42, 55.55, 50.02 degrees
Fractional positions:
Pa 0.1559 0.1559 0.8441
Pa 0.8441 0.8441 0.1559
Cr 0.2500 0.2500 0.2500
Cr 0.7500 0.7500 0.7500
Co 0.3207 0.6793 0.3207
Co 0.6793 0.3207 0.6793



10.
# PaCrCo4

Crystalline PaCrCo4 at its relaxed geometry (PBE, the Alexandria database).

Values from the calculation:
* ΔH_f (0 K): -0.07 eV per atom
* E_tot: -47.9 eV per cell
* space group: F-43m

Cell lengths 4.8732, 4.8732, 4.8732 Å; angles 60.00, 60.00, 60.00 degrees
Fractional positions:
Pa 0.0000 0.0000 0.0000
Cr 0.2500 0.2500 0.2500
Co 0.1280 0.6240 0.6240
Co 0.6240 0.1280 0.6240
Co 0.6240 0.6240 0.1280
Co 0.6240 0.6240 0.6240



11.
# PaCrCo

Crystalline PaCrCo at its relaxed geometry (PBE, the Alexandria database).

Values from the calculation:
* ΔH_f (0 K): 0.13 eV per atom
* E_tot: -25.8 eV per cell
* distance to the lowest polymorph of the same formula: 0 meV per atom
* space group: P-6m2

Cell lengths 4.0437, 4.0437, 3.6428 Å; angles 90.00, 90.00, 120.00 degrees
Fractional positions:
Pa 0.0000 0.0000 0.0000
Cr 0.6667 0.3333 0.5000
Co 0.3333 0.6667 0.5000



12.
# PaCrCo5Si2

Crystalline PaCrCo5Si2 at its relaxed geometry (PBE, the Alexandria database).

Values from the calculation:
* energy relative to the elements, uncorrected: -66.5 kJ/mol of formula units
* E_tot: -66.2 eV per cell
* space group: P4/mmm

Cell lengths 3.6396, 3.6396, 9.9233 Å; angles 90.00, 90.00, 90.00 degrees
Fractional positions:
Pa 0.0000 0.0000 0.0000
Cr 0.0000 0.0000 0.5000
Co 0.0000 0.5000 0.3576
Co 0.0000 0.5000 0.6424
Co 0.5000 0.0000 0.3576
Co 0.5000 0.0000 0.6424
Co 0.5000 0.5000 0.0000
Si 0.5000 0.5000 0.2249
Si 0.5000 0.5000 0.7751



13.
# Cr3CoPb

Crystalline Cr3CoPb at its relaxed geometry (PBE, the Alexandria database).

Values from the calculation:
* ΔH_f (0 K): 2.05 eV per atom
* E_tot: -29.4 eV per cell
* distance to the lowest polymorph of the same formula: 1066 meV per atom
* space group: Pm-3m

Cell lengths 5.1901, 5.1901, 5.1901 Å; angles 90.00, 90.00, 90.00 degrees
Fractional positions:
Cr 0.0000 0.0000 0.5000
Cr 0.0000 0.5000 0.0000
Cr 0.5000 0.0000 0.0000
Co 0.5000 0.5000 0.5000
Pb 0.0000 0.0000 0.0000



14.
# CrCoPb2

Crystalline CrCoPb2 at its relaxed geometry (PBE, the Alexandria database).

Values from the calculation:
* ΔH_f (0 K): 0.77 eV per atom
* E_tot: -42.1 eV per cell
* distance to the lowest polymorph of the same formula: 372 meV per atom
* space group: I-42d

Cell lengths 6.1752, 6.1752, 6.1752 Å; angles 104.27, 104.27, 120.47 degrees
Fractional positions:
Cr 0.0000 0.0000 0.0000
Cr 0.7500 0.2500 0.5000
Co 0.2500 0.7500 0.5000
Co 0.5000 0.5000 0.0000
Pb 0.1602 0.6250 0.0352
Pb 0.3750 0.4102 0.5352
Pb 0.5898 0.1250 0.9648
Pb 0.8750 0.8398 0.4648



15.
# CrCoPb

Crystalline CrCoPb at its relaxed geometry (PBE, the Alexandria database).

Values from the calculation:
* ΔH_f (0 K): 0.61 eV per atom
* E_tot: -18.6 eV per cell
* distance to the lowest polymorph of the same formula: 51 meV per atom
* space group: I4mm

Cell lengths 5.7460, 5.7460, 5.7460 Å; angles 148.89, 148.89, 44.57 degrees
Fractional positions:
Cr 0.0000 0.0000 0.0000
Co 0.3901 0.3901 0.0000
Pb 0.7074 0.7074 0.0000



16.
# CrCoPb2

Crystalline CrCoPb2 at its relaxed geometry (PBE, the Alexandria database).

Values from the calculation:
* ΔH_f (0 K): 0.83 eV per atom
* E_tot: -20.8 eV per cell
* distance to the lowest polymorph of the same formula: 430 meV per atom
* space group: F-43m

Cell lengths 4.9165, 4.9165, 4.9165 Å; angles 60.00, 60.00, 60.00 degrees
Fractional positions:
Cr 0.0000 0.0000 0.0000
Co 0.2500 0.2500 0.2500
Pb 0.5000 0.5000 0.5000
Pb 0.7500 0.7500 0.7500



17.
# CrCoPb2

Crystalline CrCoPb2 at its relaxed geometry (PBE, the Alexandria database).

Values from the calculation:
* ΔH_f (0 K): 0.63 eV per atom
* E_tot: -21.6 eV per cell
* distance to the lowest polymorph of the same formula: 237 meV per atom
* space group: R-3m

Cell lengths 8.6788, 8.6788, 8.6788 Å; angles 22.59, 22.59, 22.59 degrees
Fractional positions:
Cr 0.0000 0.0000 0.0000
Co 0.5000 0.5000 0.5000
Pb 0.2425 0.2425 0.2425
Pb 0.7575 0.7575 0.7575



18.
# Cr4CoPb

Crystalline Cr4CoPb at its relaxed geometry (PBE, the Alexandria database).

Values from the calculation:
* ΔH_f (0 K): 0.57 eV per atom
* E_tot: -45.9 eV per cell
* space group: F-43m

Cell lengths 4.8652, 4.8652, 4.8652 Å; angles 60.00, 60.00, 60.00 degrees
Fractional positions:
Cr 0.3760 0.3760 0.3760
Cr 0.3760 0.3760 0.8719
Cr 0.3760 0.8719 0.3760
Cr 0.8719 0.3760 0.3760
Co 0.7500 0.7500 0.7500
Pb 0.0000 0.0000 0.0000



19.
# CrCoPb2

Crystalline CrCoPb2 at its relaxed geometry (PBE, the Alexandria database).

Values from the calculation:
* ΔH_f (0 K): 0.50 eV per atom
* E_tot: -22.2 eV per cell
* distance to the lowest polymorph of the same formula: 101 meV per atom
* space group: Amm2

Cell lengths 3.8545, 5.4764, 5.4764 Å; angles 43.69, 90.00, 90.00 degrees
Fractional positions:
Cr 0.0000 0.0000 0.0000
Co 0.5000 0.1266 0.1266
Pb 0.0000 0.7082 0.7082
Pb 0.5000 0.4153 0.4153



20.
# Cr2Co2Pb

Crystalline Cr2Co2Pb at its relaxed geometry (PBE, the Alexandria database).

Values from the calculation:
* ΔH_f (0 K): 0.49 eV per atom
* E_tot: -69.4 eV per cell
* space group: P4/mbm

Cell lengths 6.9984, 6.9984, 2.8928 Å; angles 90.00, 90.00, 90.00 degrees
Fractional positions:
Cr 0.1582 0.3418 0.0000
Cr 0.3418 0.8418 0.0000
Cr 0.6582 0.1582 0.0000
Cr 0.8418 0.6582 0.0000
Co 0.1255 0.6255 0.5000
Co 0.3745 0.1255 0.5000
Co 0.6255 0.8745 0.5000
Co 0.8745 0.3745 0.5000
Pb 0.0000 0.0000 0.5000
Pb 0.5000 0.5000 0.5000